A) Computed, not measured: Pm6DySc3 after structural relaxation at the PBE level of DFT.

Lattice parameters (Å, degrees): 11.4540 11.4540 6.3051 90.00 90.00 130.77
Last column: nearest neighbours and their distance in Å.
Fractional positions:
Pm 0.0147 0.9853 0.5000  2 Pm 3.21, 1 Dy 3.27, 2 Sc 3.34
Pm 0.1054 0.5429 0.9490  3 Sc 3.22-3.57, 3 Pm 3.36-3.55, 1 Dy 3.59
Pm 0.2639 0.3785 0.6851  3 Sc 3.27-3.52, 3 Pm 3.41-3.66
Pm 0.3022 0.6978 0.4672  1 Sc 3.05, 1 Dy 3.37
Pm 0.3785 0.2639 0.1851  3 Sc 3.27-3.52, 3 Pm 3.41-3.66
Pm 0.4571 0.8946 0.9490  3 Sc 3.22-3.57, 3 Pm 3.36-3.55, 1 Dy 3.59
Pm 0.5429 0.1054 0.4490  3 Sc 3.22-3.57, 3 Pm 3.36-3.55, 1 Dy 3.59
Pm 0.6215 0.7361 0.6851  3 Sc 3.27-3.52, 3 Pm 3.41-3.66
Pm 0.6978 0.3022 0.9672  1 Sc 3.05, 1 Dy 3.37
Pm 0.7361 0.6215 0.1851  3 Sc 3.27-3.52, 3 Pm 3.41-3.66
Pm 0.8946 0.4571 0.4490  3 Sc 3.22-3.57, 3 Pm 3.36-3.55, 1 Dy 3.59
Pm 0.9853 0.0147 0.0000  2 Pm 3.21, 1 Dy 3.27, 2 Sc 3.34
Dy 0.1534 0.8466 0.2578  4 Pm 3.27-3.59, 2 Sc 3.44
Dy 0.8466 0.1534 0.7578  4 Pm 3.27-3.59, 2 Sc 3.44
Sc 0.0409 0.2939 0.2827  2 Sc 3.19-3.38, 4 Pm 3.22-3.39, 1 Dy 3.44
Sc 0.2939 0.0409 0.7827  2 Sc 3.19-3.38, 4 Pm 3.22-3.39, 1 Dy 3.44
Sc 0.4172 0.5828 0.1667  3 Pm 3.05-3.38, 2 Sc 3.38
Sc 0.5828 0.4172 0.6667  3 Pm 3.05-3.38, 2 Sc 3.38
Sc 0.7061 0.9591 0.2827  2 Sc 3.19-3.38, 4 Pm 3.22-3.39, 1 Dy 3.44
Sc 0.9591 0.7061 0.7827  2 Sc 3.19-3.38, 4 Pm 3.22-3.39, 1 Dy 3.44

**M_tot**: 0.00 μB/cell
**Space-group type**: No. 36

=====

B) Computed, not measured: Pm6DySc3 after structural relaxation at the PBE level of DFT.

Lattice parameters (Å, degrees): 6.8196 6.8196 6.8196 91.07 91.07 91.07
Last column: nearest neighbours and their distance in Å.
Fractional positions:
Pm 0.0000 0.3377 0.6623  1 Dy 3.29, 2 Sc 3.34
Pm 0.1652 0.8348 0.5000  3 Sc 3.26-3.41
Pm 0.3377 0.6623 0.0000  1 Dy 3.29, 2 Sc 3.34
Pm 0.5000 0.1652 0.8348  3 Sc 3.26-3.41
Pm 0.6623 0.0000 0.3377  1 Dy 3.29, 2 Sc 3.34
Pm 0.8348 0.5000 0.1652  3 Sc 3.26-3.41
Dy 0.0000 0.0000 0.0000  2 Sc 3.00, 3 Pm 3.29
Sc 0.2584 0.2584 0.2584  1 Sc 2.80, 1 Dy 3.00
Sc 0.5000 0.5000 0.5000  2 Sc 2.80
Sc 0.7416 0.7416 0.7416  1 Sc 2.80, 1 Dy 3.00

**M_tot**: 0.67 μB/cell
**Space-group type**: No. 155

=====

Most stable = A)

=====

A) Computed, not measured: PmDy12Sc7 after structural relaxation at the PBE level of DFT.

Lattice parameters (Å, degrees): 9.5017 9.5017 9.5017 109.47 109.47 109.47
Last column: nearest neighbours and their distance in Å.
Fractional positions:
Pm 0.0000 0.0000 0.0000  12 Dy 4.10
Dy 0.0013 0.2646 0.7367  2 Sc 2.75
Dy 0.2633 0.5279 0.2646  2 Sc 2.75
Dy 0.2633 0.9987 0.7354  2 Sc 2.75
Dy 0.2646 0.2633 0.5279  2 Sc 2.75
Dy 0.2646 0.7367 0.0013  2 Sc 2.75
Dy 0.4721 0.7354 0.7367  2 Sc 2.75
Dy 0.5279 0.2646 0.2633  2 Sc 2.75
Dy 0.7354 0.2633 0.9987  2 Sc 2.75
Dy 0.7354 0.7367 0.4721  2 Sc 2.75
Dy 0.7367 0.0013 0.2646  2 Sc 2.75
Dy 0.7367 0.4721 0.7354  2 Sc 2.75
Dy 0.9987 0.7354 0.2633  2 Sc 2.75
Sc 0.0000 0.0000 0.5000  6 Dy 2.75
Sc 0.0000 0.5000 0.0000  6 Dy 2.75
Sc 0.0000 0.5000 0.5000  12 Dy 3.66-3.90
Sc 0.5000 0.0000 0.0000  6 Dy 2.75
Sc 0.5000 0.0000 0.5000  12 Dy 3.66-3.90
Sc 0.5000 0.5000 0.0000  12 Dy 3.66-3.90
Sc 0.5000 0.5000 0.5000  6 Dy 2.75

**M_tot**: 0.00 μB/cell
**Space-group type**: No. 204

=====

B) Computed, not measured: PmDy12Sc7 after structural relaxation at the PBE level of DFT.

Lattice parameters (Å, degrees): 9.6921 9.6921 9.6921 112.78 112.78 112.78
Last column: nearest neighbours and their distance in Å.
Fractional positions:
Pm 0.0000 0.0000 0.0000  8 Sc 3.81-3.99, 6 Dy 3.95
Dy 0.0000 0.2832 0.7168  2 Dy 3.01, 4 Sc 3.23-3.26
Dy 0.0000 0.7168 0.2832  2 Dy 3.01, 4 Sc 3.23-3.26
Dy 0.0882 0.4193 0.4193  4 Sc 3.12-3.44, 3 Dy 3.17-3.47
Dy 0.2832 0.0000 0.7168  2 Dy 3.01, 4 Sc 3.23-3.26
Dy 0.2832 0.7168 0.0000  2 Dy 3.01, 4 Sc 3.23-3.26
Dy 0.4193 0.0882 0.4193  4 Sc 3.12-3.44, 3 Dy 3.17-3.47
Dy 0.4193 0.4193 0.0882  4 Sc 3.12-3.44, 3 Dy 3.17-3.47
Dy 0.5807 0.5807 0.9118  4 Sc 3.12-3.44, 3 Dy 3.17-3.47
Dy 0.5807 0.9118 0.5807  4 Sc 3.12-3.44, 3 Dy 3.17-3.47
Dy 0.7168 0.0000 0.2832  2 Dy 3.01, 4 Sc 3.23-3.26
Dy 0.7168 0.2832 0.0000  2 Dy 3.01, 4 Sc 3.23-3.26
Dy 0.9118 0.5807 0.5807  4 Sc 3.12-3.44, 3 Dy 3.17-3.47
Sc 0.1606 0.1606 0.4968  7 Dy 3.12-3.34, 1 Sc 3.49
Sc 0.1606 0.4968 0.1606  7 Dy 3.12-3.34, 1 Sc 3.49
Sc 0.4968 0.1606 0.1606  7 Dy 3.12-3.34, 1 Sc 3.49
Sc 0.5000 0.5000 0.5000  6 Dy 3.44, 6 Sc 3.62
Sc 0.5032 0.8394 0.8394  7 Dy 3.12-3.34, 1 Sc 3.49
Sc 0.8394 0.5032 0.8394  7 Dy 3.12-3.34, 1 Sc 3.49
Sc 0.8394 0.8394 0.5032  7 Dy 3.12-3.34, 1 Sc 3.49

**M_tot**: 0.00 μB/cell
**Space-group type**: No. 166

=====

Most stable = B)

=====

A) Computed, not measured: Pm3Dy2Sc2 after structural relaxation at the PBE level of DFT.

Lattice parameters (Å, degrees): 3.4930 8.3964 8.5534 117.89 90.04 101.99
Last column: nearest neighbours and their distance in Å.
Fractional positions:
Pm 0.0000 0.0000 0.0000  2 Sc 3.32, 6 Pm 3.49-3.54, 4 Dy 3.66-3.67
Pm 0.2957 0.5913 0.7063  3 Sc 3.30-3.45, 6 Pm 3.49-3.56, 3 Dy 3.64-3.69
Pm 0.7043 0.4087 0.2937  3 Sc 3.30-3.45, 6 Pm 3.49-3.56, 3 Dy 3.64-3.69
Dy 0.3661 0.7332 0.1797  4 Sc 3.43-3.46, 2 Dy 3.49, 5 Pm 3.64-3.69
Dy 0.6339 0.2668 0.8203  4 Sc 3.43-3.46, 2 Dy 3.49, 5 Pm 3.64-3.69
Sc 0.0700 0.1395 0.4340  1 Sc 3.00, 2 Pm 3.30-3.32
Sc 0.9300 0.8605 0.5660  1 Sc 3.00, 2 Pm 3.30-3.32

**M_tot**: 0.00 μB/cell
**Space-group type**: No. 2

=====

B) Computed, not measured: Pm3Dy2Sc2 after structural relaxation at the PBE level of DFT.

Lattice parameters (Å, degrees): 6.0495 6.0495 7.8767 97.69 97.69 48.56
Last column: nearest neighbours and their distance in Å.
Fractional positions:
Pm 0.0000 0.0000 0.0000  6 Sc 3.46-3.51, 4 Dy 3.48, 2 Pm 3.53
Pm 0.1443 0.1443 0.4303  4 Pm 3.48-3.53, 5 Dy 3.52-3.56, 3 Sc 3.52-3.56
Pm 0.8557 0.8557 0.5697  4 Pm 3.48-3.53, 5 Dy 3.52-3.56, 3 Sc 3.52-3.56
Dy 0.4286 0.4286 0.2778  4 Sc 3.43-3.51, 7 Pm 3.48-3.56, 1 Dy 3.62
Dy 0.5714 0.5714 0.7222  4 Sc 3.43-3.51, 7 Pm 3.48-3.56, 1 Dy 3.62
Sc 0.2836 0.2836 0.8622  4 Dy 3.43-3.51, 2 Sc 3.45, 6 Pm 3.46-3.56
Sc 0.7164 0.7164 0.1378  4 Dy 3.43-3.51, 2 Sc 3.45, 6 Pm 3.46-3.56

**M_tot**: 0.00 μB/cell
**Space-group type**: No. 12

=====

Most stable = A)